1.
Density functional theory data (PBE) for crystalline LaMg3 at its relaxed geometry.

Lattice parameters (Å, degrees): 3.287 3.287 11.256 90.00 90.00 120.00
Sites, in units of the cell vectors:
Mg (0.667, 0.333, 0.732)
Mg (0.000, 0.000, 0.500)
Mg (0.667, 0.333, 0.268)
La (0.000, 0.000, 0.000)

Computed properties:
Magnetization (μB/f.u.): 0.002
Energy of formation (meV per atom): 12



2.
Density functional theory data (PBE) for crystalline LaMg at its relaxed geometry.

Lattice parameters (Å, degrees): 6.095 6.095 6.713 62.45 62.45 59.31
Sites, in units of the cell vectors:
Mg (0.182, 0.175, 0.492)
Mg (0.825, 0.818, 0.508)
Mg (0.331, 0.669, 0.000)
La (0.688, 0.015, 0.984)
La (0.489, 0.511, 0.500)
La (0.985, 0.312, 0.016)

Computed properties:
Magnetization (μB/f.u.): 0.000
Energy of formation (meV per atom): -27



3.
Density functional theory data (PBE) for crystalline La2Mg at its relaxed geometry.

Lattice parameters (Å, degrees): 6.611 6.611 6.611 100.08 100.08 130.53
Sites, in units of the cell vectors:
La (0.851, 0.351, 0.201)
La (0.649, 0.851, 0.500)
La (0.351, 0.149, 0.500)
La (0.149, 0.649, 0.799)
Mg (0.250, 0.250, 0.000)
Mg (0.750, 0.750, 0.000)

Computed properties:
Magnetization (μB/f.u.): 0.000
Energy of formation (meV per atom): 14



4.
Density functional theory data (PBE) for crystalline LaMg at its relaxed geometry.

Lattice parameters (Å, degrees): 6.072 6.072 5.583 90.00 90.00 117.78
Sites, in units of the cell vectors:
Mg (0.667, 0.667, 0.000)
Mg (0.336, 0.650, 0.500)
Mg (0.650, 0.336, 0.500)
La (0.014, 0.370, 0.000)
La (0.370, 0.014, 0.000)
La (0.963, 0.963, 0.500)

Computed properties:
Magnetization (μB/f.u.): 0.000
Energy of formation (meV per atom): -22



5.
Density functional theory data (PBE) for crystalline La2Mg at its relaxed geometry.

Lattice parameters (Å, degrees): 13.271 13.271 13.271 162.92 162.92 24.24
Sites, in units of the cell vectors:
La (0.178, 0.678, 0.500)
La (0.572, 0.572, 0.000)
La (0.322, 0.822, 0.500)
La (0.428, 0.428, 0.000)
Mg (0.000, 0.000, 0.000)
Mg (0.750, 0.250, 0.500)

Computed properties:
Magnetization (μB/f.u.): 0.000
Energy of formation (meV per atom): 69



6.
Density functional theory data (PBE) for crystalline LaMg7 at its relaxed geometry.

Lattice parameters (Å, degrees): 6.756 6.756 5.211 90.00 90.00 120.00
Sites, in units of the cell vectors:
Mg (0.161, 0.839, 0.500)
Mg (0.333, 0.667, 0.000)
Mg (0.319, 0.160, 0.000)
Mg (0.840, 0.160, 0.000)
Mg (0.678, 0.839, 0.500)
Mg (0.840, 0.681, 0.000)
Mg (0.161, 0.322, 0.500)
La (0.667, 0.333, 0.500)

Computed properties:
Magnetization (μB/f.u.): 0.000
Energy of formation (meV per atom): 9



Number 4 is which compound? LaMg



Which value of energy of formation does entry 4 give? -22 meV per atom



Please write out number 2 again, unchanged.
Density functional theory data (PBE) for crystalline LaMg at its relaxed geometry.

Lattice parameters (Å, degrees): 6.095 6.095 6.713 62.45 62.45 59.31
Sites, in units of the cell vectors:
Mg (0.182, 0.175, 0.492)
Mg (0.825, 0.818, 0.508)
Mg (0.331, 0.669, 0.000)
La (0.688, 0.015, 0.984)
La (0.489, 0.511, 0.500)
La (0.985, 0.312, 0.016)

Computed properties:
Magnetization (μB/f.u.): 0.000
Energy of formation (meV per atom): -27



What is the magnetization in the fifth record? 0.000 μB/f.u.